# 1
Material: ErAgGe2O6
Method: DFT, PBE-GGA
State: relaxed

## Properties
* total DFT energy (no corrections): -6.5152 eV per atom
* V: 280.4 Å³/cell

```
ErAgGe2O6
1.0
5.230 -5.115 0.000
5.230 5.115 0.000
-0.736 0.000 5.240
Er Ag Ge O
2 2 4 12
Cartesian
4.678 2.751 3.930
5.046 -2.751 1.310
5.046 0.886 1.310
4.678 -0.886 3.930
1.513 0.895 4.139
1.881 -0.895 1.518
7.842 0.895 3.722
8.211 -0.895 1.102
1.492 0.651 0.560
3.775 2.973 1.973
1.124 -0.651 3.180
3.228 1.137 4.361
6.316 2.973 0.647
3.596 -1.137 1.741
6.127 1.137 3.499
3.407 -2.973 4.593
6.495 -1.137 0.879
8.600 0.651 2.060
5.948 -2.973 3.268
8.232 -0.651 4.681
```


# 2
Material: ErAgGePd
Method: DFT, PBE-GGA
State: relaxed

## Properties
* energy of formation: -0.491 eV per atom
* V: 76.0 Å³/cell

```
ErAgGePd
1.0
0.000 3.362 3.362
3.362 0.000 3.362
3.362 3.362 0.000
Er Ag Ge Pd
1 1 1 1
Cartesian
0.000 0.000 0.000
3.362 3.362 3.362
5.043 5.043 5.043
1.681 1.681 1.681
```